Material: Ba2CoPdO6
Method: DFT, GGA+U
State: relaxed

Output
As for the space-group type: R-3m, No. 166. For the density of states at the Fermi level, the calculation gives 4.03 states/eV/f.u. The calculation puts the total energy at -117.4 eV/cell.

Lattice parameters (Å, degrees): 5.763 5.763 10.193 73.58 73.58 60.00
Positions (direct):
Pd (0.589, 0.589, 0.233)
Pd (0.411, 0.411, 0.767)
O (0.393, 0.393, 0.375)
O (0.161, 0.607, 0.625)
O (0.718, 0.200, 0.882)
O (0.200, 0.200, 0.882)
O (0.200, 0.718, 0.882)
O (0.393, 0.839, 0.375)
O (0.800, 0.282, 0.118)
O (0.839, 0.393, 0.375)
O (0.800, 0.800, 0.118)
O (0.607, 0.161, 0.625)
O (0.282, 0.800, 0.118)
O (0.607, 0.607, 0.625)
Ba (0.876, 0.876, 0.373)
Ba (0.291, 0.291, 0.127)
Ba (0.709, 0.709, 0.873)
Ba (0.124, 0.124, 0.627)
Co (0.000, 0.000, 0.000)
Co (0.500, 0.500, 0.500)